VASP calculation (PBE) on a geometry-optimized Sr3GeAs3 structure.

Fermi-level density of states ... 8.19 states/eV per cell
E above lowest polymorph ... 0 meV/atom
Crystal system ... orthorhombic
Formation energy from the elements ... -0.88 eV per atom

Unit cell a=10.2925 b=10.2925 c=12.8903 alpha=90.00 beta=90.00 gamma=37.58
Closest atoms and distances in Å follow each position.
Fractional coordinates of all 28 atoms:
Sr  0.0106  0.6392  0.1314  6 As 3.18-3.48, 1 Ge 3.19
Sr  0.1392  0.5106  0.6314  6 As 3.18-3.48, 1 Ge 3.19
Sr  0.1874  0.8126  0.8553  5 As 3.14-3.36, 2 Ge 3.26
Sr  0.3126  0.6874  0.3553  5 As 3.14-3.36, 2 Ge 3.26
Sr  0.3608  0.9894  0.1314  6 As 3.18-3.48, 1 Ge 3.19
Sr  0.4894  0.8608  0.6314  6 As 3.18-3.48, 1 Ge 3.19
Sr  0.5106  0.1392  0.3686  6 As 3.18-3.48, 1 Ge 3.19
Sr  0.6392  0.0106  0.8686  6 As 3.18-3.48, 1 Ge 3.19
Sr  0.6874  0.3126  0.6447  5 As 3.14-3.36, 2 Ge 3.26
Sr  0.8126  0.1874  0.1447  5 As 3.14-3.36, 2 Ge 3.26
Sr  0.8608  0.4894  0.3686  6 As 3.18-3.48, 1 Ge 3.19
Sr  0.9894  0.3608  0.8686  6 As 3.18-3.48, 1 Ge 3.19
Ge  0.0866  0.0866  0.5000  4 As 2.54-2.65
Ge  0.4134  0.4134  0.0000  4 As 2.54-2.65
Ge  0.5866  0.5866  0.0000  4 As 2.54-2.65
Ge  0.9134  0.9134  0.5000  4 As 2.54-2.65
As  0.0434  0.6328  0.3787  1 Ge 2.54
As  0.1328  0.5434  0.8787  1 Ge 2.54
As  0.2185  0.7815  0.6117  2 Ge 2.65
As  0.2815  0.7185  0.1117  2 Ge 2.65
As  0.3672  0.9566  0.3787  1 Ge 2.54
As  0.4566  0.8672  0.8787  1 Ge 2.54
As  0.5434  0.1328  0.1213  1 Ge 2.54
As  0.6328  0.0434  0.6213  1 Ge 2.54
As  0.7185  0.2815  0.8883  2 Ge 2.65
As  0.7815  0.2185  0.3883  2 Ge 2.65
As  0.8672  0.4566  0.1213  1 Ge 2.54
As  0.9566  0.3672  0.6213  1 Ge 2.54

VASP calculation (PBE) on a geometry-optimized Sr4GeAs4 structure.

Fermi-level density of states ... 1.59 states/eV per cell
E above lowest polymorph ... 27 meV/atom
Crystal system ... tetragonal
Formation energy from the elements ... -0.96 eV per atom

Unit cell a=9.0235 b=9.0235 c=6.6291 alpha=90.00 beta=90.00 gamma=90.00
Closest atoms and distances in Å follow each position.
Fractional coordinates of all 18 atoms:
Sr  0.0165  0.2500  0.0638  1 Ge 3.18, 6 As 3.18-3.48
Sr  0.2500  0.0165  0.5638  1 Ge 3.18, 6 As 3.18-3.48
Sr  0.2500  0.4835  0.5638  1 Ge 3.18, 6 As 3.18-3.48
Sr  0.4835  0.2500  0.0638  1 Ge 3.18, 6 As 3.18-3.48
Sr  0.5165  0.7500  0.9362  1 Ge 3.18, 6 As 3.18-3.48
Sr  0.7500  0.5165  0.4362  1 Ge 3.18, 6 As 3.18-3.48
Sr  0.7500  0.9835  0.4362  1 Ge 3.18, 6 As 3.18-3.48
Sr  0.9835  0.7500  0.9362  1 Ge 3.18, 6 As 3.18-3.48
Ge  0.2500  0.7500  0.2500  4 As 2.50
Ge  0.7500  0.2500  0.7500  4 As 2.50
As  0.0190  0.7500  0.4583  1 Ge 2.50
As  0.2500  0.5190  0.0417  1 Ge 2.50
As  0.2500  0.9810  0.0417  1 Ge 2.50
As  0.4810  0.7500  0.4583  1 Ge 2.50
As  0.5190  0.2500  0.5417  1 Ge 2.50
As  0.7500  0.0190  0.9583  1 Ge 2.50
As  0.7500  0.4810  0.9583  1 Ge 2.50
As  0.9810  0.2500  0.5417  1 Ge 2.50

VASP calculation (PBE) on a geometry-optimized SrGe3As structure.

Fermi-level density of states ... 2.61 states/eV per cell
Crystal system ... cubic
Formation energy from the elements ... 0.20 eV per atom

Unit cell a=5.1396 b=5.1396 c=5.1396 alpha=90.00 beta=90.00 gamma=90.00
Closest atoms and distances in Å follow each position.
Fractional coordinates of all 5 atoms:
Sr  0.0000  0.0000  0.0000  12 Ge 3.63
Ge  0.0000  0.5000  0.5000  2 As 2.57
Ge  0.5000  0.0000  0.5000  2 As 2.57
Ge  0.5000  0.5000  0.0000  2 As 2.57
As  0.5000  0.5000  0.5000  6 Ge 2.57

VASP calculation (PBE) on a geometry-optimized Sr4GeAs4 structure.

E above lowest polymorph ... 0 meV/atom
Crystal system ... cubic
Formation energy from the elements ... -0.99 eV per atom

Unit cell a=12.9226 b=12.9226 c=12.9226 alpha=90.00 beta=90.00 gamma=90.00
Closest atoms and distances in Å follow each position.
Fractional coordinates of all 72 atoms:
Sr  0.0977  0.1312  0.6433  6 As 3.18-3.34, 1 Ge 3.19
Sr  0.0977  0.8688  0.3567  6 As 3.18-3.34, 1 Ge 3.19
Sr  0.1312  0.3567  0.9023  6 As 3.18-3.34, 1 Ge 3.19
Sr  0.1312  0.6433  0.0977  6 As 3.18-3.34, 1 Ge 3.19
Sr  0.1434  0.1434  0.1434  1 Ge 3.21, 6 As 3.22-3.34
Sr  0.1433  0.3688  0.4023  6 As 3.18-3.34, 1 Ge 3.19
Sr  0.1433  0.6312  0.5977  6 As 3.18-3.34, 1 Ge 3.19
Sr  0.1434  0.8566  0.8566  1 Ge 3.21, 6 As 3.22-3.34
Sr  0.3567  0.0977  0.8688  6 As 3.18-3.34, 1 Ge 3.19
Sr  0.3566  0.3566  0.6434  1 Ge 3.21, 6 As 3.22-3.34
Sr  0.3566  0.6434  0.3566  1 Ge 3.21, 6 As 3.22-3.34
Sr  0.3567  0.9023  0.1312  6 As 3.18-3.34, 1 Ge 3.19
Sr  0.3688  0.4023  0.1433  6 As 3.18-3.34, 1 Ge 3.19
Sr  0.3688  0.5977  0.8567  6 As 3.18-3.34, 1 Ge 3.19
Sr  0.4023  0.1433  0.3688  6 As 3.18-3.34, 1 Ge 3.19
Sr  0.4023  0.8567  0.6312  6 As 3.18-3.34, 1 Ge 3.19
Sr  0.5977  0.1433  0.6312  6 As 3.18-3.34, 1 Ge 3.19
Sr  0.5977  0.8567  0.3688  6 As 3.18-3.34, 1 Ge 3.19
Sr  0.6312  0.4023  0.8567  6 As 3.18-3.34, 1 Ge 3.19
Sr  0.6312  0.5977  0.1433  6 As 3.18-3.34, 1 Ge 3.19
Sr  0.6433  0.0977  0.1312  6 As 3.18-3.34, 1 Ge 3.19
Sr  0.6434  0.3566  0.3566  1 Ge 3.21, 6 As 3.22-3.34
Sr  0.6434  0.6434  0.6434  1 Ge 3.21, 6 As 3.22-3.34
Sr  0.6433  0.9023  0.8688  6 As 3.18-3.34, 1 Ge 3.19
Sr  0.8566  0.1434  0.8566  1 Ge 3.21, 6 As 3.22-3.34
Sr  0.8567  0.3688  0.5977  6 As 3.18-3.34, 1 Ge 3.19
Sr  0.8567  0.6312  0.4023  6 As 3.18-3.34, 1 Ge 3.19
Sr  0.8566  0.8566  0.1434  1 Ge 3.21, 6 As 3.22-3.34
Sr  0.8688  0.3567  0.0977  6 As 3.18-3.34, 1 Ge 3.19
Sr  0.8688  0.6433  0.9023  6 As 3.18-3.34, 1 Ge 3.19
Sr  0.9023  0.1312  0.3567  6 As 3.18-3.34, 1 Ge 3.19
Sr  0.9023  0.8688  0.6433  6 As 3.18-3.34, 1 Ge 3.19
Ge  0.0000  0.0000  0.0000  4 As 2.48
Ge  0.0000  0.5000  0.2500  4 As 2.49
Ge  0.0000  0.5000  0.7500  4 As 2.49
Ge  0.2500  0.0000  0.5000  4 As 2.49
Ge  0.5000  0.2500  0.0000  4 As 2.49
Ge  0.5000  0.5000  0.5000  4 As 2.48
Ge  0.5000  0.7500  0.0000  4 As 2.49
Ge  0.7500  0.0000  0.5000  4 As 2.49
As  0.1088  0.3797  0.6457  1 Ge 2.49
As  0.1088  0.6203  0.3543  1 Ge 2.49
As  0.1108  0.1108  0.8892  1 Ge 2.48
As  0.1108  0.8892  0.1108  1 Ge 2.48
As  0.1203  0.3912  0.1457  1 Ge 2.49
As  0.1203  0.6088  0.8543  1 Ge 2.49
As  0.1457  0.1203  0.3912  1 Ge 2.49
As  0.1457  0.8797  0.6088  1 Ge 2.49
As  0.3543  0.1088  0.6203  1 Ge 2.49
As  0.3543  0.8912  0.3797  1 Ge 2.49
As  0.3797  0.3543  0.8912  1 Ge 2.49
As  0.3797  0.6457  0.1088  1 Ge 2.49
As  0.3892  0.3892  0.3892  1 Ge 2.48
As  0.3892  0.6108  0.6108  1 Ge 2.48
As  0.3912  0.1457  0.1203  1 Ge 2.49
As  0.3912  0.8543  0.8797  1 Ge 2.49
As  0.6088  0.1457  0.8797  1 Ge 2.49
As  0.6088  0.8543  0.1203  1 Ge 2.49
As  0.6108  0.3892  0.6108  1 Ge 2.48
As  0.6108  0.6108  0.3892  1 Ge 2.48
As  0.6203  0.3543  0.1088  1 Ge 2.49
As  0.6203  0.6457  0.8912  1 Ge 2.49
As  0.6457  0.1088  0.3797  1 Ge 2.49
As  0.6457  0.8912  0.6203  1 Ge 2.49
As  0.8543  0.1203  0.6088  1 Ge 2.49
As  0.8543  0.8797  0.3912  1 Ge 2.49
As  0.8797  0.3912  0.8543  1 Ge 2.49
As  0.8797  0.6088  0.1457  1 Ge 2.49
As  0.8892  0.1108  0.1108  1 Ge 2.48
As  0.8892  0.8892  0.8892  1 Ge 2.48
As  0.8912  0.3797  0.3543  1 Ge 2.49
As  0.8912  0.6203  0.6457  1 Ge 2.49

VASP calculation (PBE) on a geometry-optimized SrGe2As structure.

Fermi-level density of states ... 4.27 states/eV per cell
Crystal system ... tetragonal
Formation energy from the elements ... -0.22 eV per atom

Unit cell a=6.5077 b=6.5077 c=6.5077 alpha=103.40 beta=103.40 gamma=122.44
Closest atoms and distances in Å follow each position.
Fractional coordinates of all 8 atoms:
Sr  0.0000  0.0000  0.0000  2 As 3.13, 8 Ge 3.29-3.46
Sr  0.7500  0.2500  0.5000  2 As 3.13, 8 Ge 3.29-3.46
Ge  0.1830  0.1250  0.5580  2 As 2.66
Ge  0.3750  0.8170  0.9420  2 As 2.66
Ge  0.5670  0.6250  0.4420  2 As 2.66
Ge  0.8750  0.4330  0.0580  2 As 2.66
As  0.2500  0.7500  0.5000  4 Ge 2.66
As  0.5000  0.5000  0.0000  4 Ge 2.66

VASP calculation (PBE) on a geometry-optimized Sr3Ge2As4 structure.

Fermi-level density of states ... 2.35 states/eV per cell
E above lowest polymorph ... 94 meV/atom
Crystal system ... monoclinic
Formation energy from the elements ... -0.71 eV per atom

Unit cell a=8.7652 b=8.7652 c=7.9699 alpha=91.50 beta=91.50 gamma=58.67
Closest atoms and distances in Å follow each position.
Fractional coordinates of all 18 atoms:
Sr  0.0076  0.9924  0.7500  6 As 3.13-3.49
Sr  0.2802  0.4653  0.1307  6 As 3.10-3.33
Sr  0.4653  0.2802  0.6307  6 As 3.10-3.33
Sr  0.5347  0.7198  0.3693  6 As 3.10-3.33
Sr  0.7198  0.5347  0.8693  6 As 3.10-3.33
Sr  0.9924  0.0076  0.2500  6 As 3.13-3.49
Ge  0.0397  0.3361  0.5106  3 As 2.40-2.63, 1 Ge 2.59
Ge  0.3361  0.0397  0.0106  3 As 2.40-2.63, 1 Ge 2.59
Ge  0.6639  0.9603  0.9894  3 As 2.40-2.63, 1 Ge 2.59
Ge  0.9603  0.6639  0.4894  3 As 2.40-2.63, 1 Ge 2.59
As  0.1405  0.3011  0.8280  2 Ge 2.50-2.63
As  0.2281  0.6762  0.4971  1 Ge 2.40
As  0.3011  0.1405  0.3280  2 Ge 2.50-2.63
As  0.3238  0.7719  0.0029  1 Ge 2.40
As  0.6762  0.2281  0.9971  1 Ge 2.40
As  0.6989  0.8595  0.6720  2 Ge 2.50-2.63
As  0.7719  0.3238  0.5029  1 Ge 2.40
As  0.8595  0.6989  0.1720  2 Ge 2.50-2.63

| no. | DFT total energy (eV/atom) |
| --- | --- |
| 1 | -4.252 |
| 2 | -4.290 |
| 3 | -3.835 |
| 4 | -4.317 |
| 5 | -4.107 |
| 6 | -4.363 |